(1)
{
  "formula": "Sm2MgAg6",
  "functional": "PBE-GGA",
  "state": "optimized geometry",
  "dos_ef_per_ev_atom": 0.519,
  "de_polymorph_mev_per_atom": 0,
  "magnetic_moment_mub_per_cell": 0.00,
  "spacegroup": "P-3m1, No. 164",
  "lattice": [[6.256, 0.000, 0.000], [-3.128, 5.418, 0.000], [0.000, 0.000, 5.839]],
  "species": ["Sm", "Sm", "Mg", "Ag", "Ag", "Ag", "Ag", "Ag", "Ag"],
  "frac_coords": [[0.333, 0.667, 0.156], [0.667, 0.333, 0.844], [0.000, 0.000, 0.000], [0.181, 0.363, 0.675], [0.181, 0.819, 0.675], [0.363, 0.181, 0.325], [0.637, 0.819, 0.675], [0.819, 0.181, 0.325], [0.819, 0.637, 0.325]]
}


(2)
{
  "formula": "Sm4Mg5Ag2",
  "functional": "PBE-GGA",
  "state": "optimized geometry",
  "e_tot_ev_per_atom": -3.07,
  "dos_ef_per_ev_atom": 0.865,
  "magnetic_moment_mub_per_cell": 0.00,
  "spacegroup": "P2/m, No. 10",
  "lattice": [[8.049, 0.000, 0.000], [0.000, 3.517, 0.000], [-0.588, 0.000, 10.424]],
  "species": ["Sm", "Sm", "Sm", "Sm", "Mg", "Mg", "Mg", "Mg", "Mg", "Ag", "Ag"],
  "frac_coords": [[0.159, 0.000, 0.375], [0.256, 0.000, 0.948], [0.744, 0.000, 0.052], [0.841, 0.000, 0.625], [0.199, 0.500, 0.666], [0.437, 0.500, 0.200], [0.500, 0.500, 0.500], [0.563, 0.500, 0.800], [0.801, 0.500, 0.334], [0.060, 0.500, 0.138], [0.940, 0.500, 0.862]]
}


(3)
{
  "formula": "SmMg2Ag3",
  "functional": "PBE-GGA",
  "state": "optimized geometry",
  "dos_ef_per_ev_atom": 0.655,
  "de_polymorph_mev_per_atom": 0,
  "magnetic_moment_mub_per_cell": 0.00,
  "spacegroup": "P6_3/mmc, No. 194",
  "lattice": [[4.768, 0.000, 0.000], [-2.384, 4.129, 0.000], [0.000, 0.000, 13.137]],
  "species": ["Sm", "Sm", "Mg", "Mg", "Mg", "Mg", "Ag", "Ag", "Ag", "Ag", "Ag", "Ag"],
  "frac_coords": [[0.000, 0.000, 0.250], [0.000, 0.000, 0.750], [0.333, 0.667, 0.077], [0.333, 0.667, 0.423], [0.667, 0.333, 0.577], [0.667, 0.333, 0.923], [0.000, 0.000, 0.000], [0.000, 0.000, 0.500], [0.333, 0.667, 0.637], [0.333, 0.667, 0.863], [0.667, 0.333, 0.137], [0.667, 0.333, 0.363]]
}


(4)
{
  "formula": "SmMg3Ag4",
  "functional": "PBE-GGA",
  "state": "optimized geometry",
  "e_tot_ev_per_atom": -2.85,
  "dos_ef_per_ev_atom": 0.433,
  "magnetic_moment_mub_per_cell": 0.00,
  "spacegroup": "R-3m, No. 166",
  "lattice": [[2.397, 1.384, 8.331], [-2.397, 1.384, 8.331], [0.000, -2.768, 8.331]],
  "species": ["Sm", "Mg", "Mg", "Mg", "Ag", "Ag", "Ag", "Ag"],
  "frac_coords": [[0.000, 0.000, 0.000], [0.246, 0.246, 0.246], [0.500, 0.500, 0.500], [0.754, 0.754, 0.754], [0.128, 0.128, 0.128], [0.390, 0.390, 0.390], [0.610, 0.610, 0.610], [0.872, 0.872, 0.872]]
}


(5)
{
  "formula": "SmMg2Ag",
  "functional": "PBE-GGA",
  "state": "optimized geometry",
  "e_tot_ev_per_atom": -2.88,
  "dos_ef_per_ev_atom": 0.963,
  "magnetic_moment_mub_per_cell": 0.00,
  "spacegroup": "F-43m, No. 216",
  "lattice": [[0.000, 3.596, 3.596], [3.596, 0.000, 3.596], [3.596, 3.596, 0.000]],
  "species": ["Sm", "Mg", "Mg", "Ag"],
  "frac_coords": [[0.000, 0.000, 0.000], [0.250, 0.250, 0.250], [0.500, 0.500, 0.500], [0.750, 0.750, 0.750]]
}


(6)
{
  "formula": "SmMgAgSn",
  "functional": "PBE-GGA",
  "state": "optimized geometry",
  "e_tot_ev_per_atom": -3.69,
  "dos_ef_per_ev_atom": 0.529,
  "magnetic_moment_mub_per_cell": 0.00,
  "spacegroup": "F-43m, No. 216",
  "lattice": [[0.000, 3.631, 3.631], [3.631, 0.000, 3.631], [3.631, 3.631, 0.000]],
  "species": ["Sm", "Mg", "Ag", "Sn"],
  "frac_coords": [[0.000, 0.000, 0.000], [0.500, 0.500, 0.500], [0.750, 0.750, 0.750], [0.250, 0.250, 0.250]]
}


(7)
{
  "formula": "SmMgAgTe3",
  "functional": "PBE-GGA",
  "state": "optimized geometry",
  "raw_formation_energy_mev_per_atom": -880,
  "magnetic_moment_mub_per_cell": 0.00,
  "spacegroup": "P2_1/m, No. 11",
  "lattice": [[8.494, 0.000, 0.000], [0.000, 4.262, 0.000], [-2.162, 0.000, 9.389]],
  "species": ["Sm", "Sm", "Mg", "Mg", "Ag", "Ag", "Te", "Te", "Te", "Te", "Te", "Te"],
  "frac_coords": [[0.189, 0.250, 0.248], [0.811, 0.750, 0.752], [0.334, 0.750, 0.835], [0.666, 0.250, 0.165], [0.085, 0.250, 0.583], [0.915, 0.750, 0.417], [0.089, 0.250, 0.875], [0.278, 0.750, 0.510], [0.418, 0.750, 0.145], [0.582, 0.250, 0.855], [0.722, 0.250, 0.490], [0.911, 0.750, 0.125]]
}


(8)
{
  "formula": "SmMg2Tl2Ag2",
  "functional": "PBE-GGA",
  "state": "optimized geometry",
  "e_tot_ev_per_atom": -2.78,
  "dos_ef_per_ev_atom": 0.558,
  "magnetic_moment_mub_per_cell": 0.00,
  "spacegroup": "R-3m, No. 166",
  "lattice": [[2.459, 1.420, 8.031], [-2.459, 1.420, 8.031], [0.000, -2.840, 8.031]],
  "species": ["Sm", "Mg", "Mg", "Tl", "Tl", "Ag", "Ag"],
  "frac_coords": [[0.000, 0.000, 0.000], [0.134, 0.134, 0.134], [0.866, 0.866, 0.866], [0.398, 0.398, 0.398], [0.602, 0.602, 0.602], [0.251, 0.251, 0.251], [0.749, 0.749, 0.749]]
}


- What is the formula in the third record?
  SmMg2Ag3